Nd2HoMg9 (PBE, optimized geometry); mass density = 3557 kg/m³; formation energy = -0.04 eV per atom; total moment = 0.0 μB/cell; symmetry = No. 166
1.0
6.075 0.000 0.000
3.037 5.261 0.000
3.037 1.754 9.821
Mg Nd Ho
9 2 1
direct
0.584 0.584 0.752
0.666 0.666 0.002
0.416 0.920 0.248
0.500 0.500 0.500
0.080 0.584 0.752
0.920 0.416 0.248
0.416 0.416 0.248
0.584 0.080 0.752
0.334 0.334 0.998
0.141 0.141 0.576
0.859 0.859 0.424
0.000 0.000 0.000



Nd4Ho3Mg (PBE, optimized geometry); mass density = 6735 kg/m³; formation energy = 0.18 eV per atom; total moment = 0.0 μB/cell; E above lowest polymorph = 184 meV per atom; symmetry = No. 12
1.0
3.665 0.000 0.000
0.000 5.248 -0.184
-1.833 -0.276 14.058
Ho Nd Mg
3 4 1
direct
0.848 0.782 0.695
0.000 0.500 0.000
0.152 0.218 0.305
0.404 0.300 0.808
0.596 0.700 0.192
0.716 0.747 0.433
0.284 0.253 0.567
0.500 0.000 0.000



Nd8Ho3Mg (PBE, optimized geometry); mass density = 6342 kg/m³; formation energy = 0.53 eV per atom; total moment = 0.0 μB/cell; symmetry = No. 121
1.0
-6.208 5.152 -2.497
5.400 -2.822 -5.848
-2.091 -7.768 2.571
Nd Ho Mg
8 3 1
direct
0.497 0.759 0.759
0.000 0.621 0.875
0.503 0.262 0.262
0.000 0.241 0.738
0.745 0.125 0.125
0.000 0.738 0.241
0.255 0.379 0.379
0.000 0.875 0.621
0.500 0.250 0.750
0.000 0.500 0.500
0.500 0.750 0.250
0.000 0.000 0.000



Nd8HoMg2 (PBE, optimized geometry); mass density = 6105 kg/m³; formation energy = 0.11 eV per atom; total moment = 0.0 μB/cell; E above lowest polymorph = 103 meV per atom; symmetry = No. 12
1.0
-1.231 -0.752 5.658
-4.238 -7.597 2.332
4.905 -7.394 2.216
Nd Ho Mg
8 1 2
direct
0.138 0.903 0.774
0.294 0.409 0.000
0.706 0.591 0.000
0.862 0.323 0.774
0.500 0.790 0.420
0.862 0.097 0.226
0.138 0.677 0.226
0.500 0.210 0.580
0.500 0.000 0.000
0.000 0.307 0.387
0.000 0.693 0.613



NdHoMgOs (PBE, optimized geometry); mass density = 9457 kg/m³; formation energy = -0.06 eV per atom; total moment = 0.0 μB/cell; symmetry = No. 216
1.0
-1.911 4.494 -1.348
-1.274 0.866 -4.826
-4.881 0.390 -1.300
Os Mg Ho Nd
1 1 1 1
direct
0.250 0.250 0.250
0.750 0.750 0.750
0.000 0.000 0.000
0.500 0.500 0.500



NdHoMgPb (PBE, optimized geometry); mass density = 7952 kg/m³; formation energy = -0.29 eV per atom; total moment = 0.0 μB/cell; symmetry = No. 216
1.0
-1.379 3.501 3.908
-4.760 2.592 -0.236
-3.951 -1.258 3.499
Nd Mg Pb Ho
1 1 1 1
direct
0.750 0.750 0.750
0.000 0.000 0.000
0.500 0.500 0.500
0.250 0.250 0.250



Which formula does entry 3 have? Nd8Ho3Mg



Please write out number 4 again, unchanged.
Nd8HoMg2 (PBE, optimized geometry); mass density = 6105 kg/m³; formation energy = 0.11 eV per atom; total moment = 0.0 μB/cell; E above lowest polymorph = 103 meV per atom; symmetry = No. 12
1.0
-1.231 -0.752 5.658
-4.238 -7.597 2.332
4.905 -7.394 2.216
Nd Ho Mg
8 1 2
direct
0.138 0.903 0.774
0.294 0.409 0.000
0.706 0.591 0.000
0.862 0.323 0.774
0.500 0.790 0.420
0.862 0.097 0.226
0.138 0.677 0.226
0.500 0.210 0.580
0.500 0.000 0.000
0.000 0.307 0.387
0.000 0.693 0.613



Among the records above, which one has the lowest formation energy? NdHoMgPb



Which formula does entry 3 have? Nd8Ho3Mg